<A>
Entry from the Alexandria database: a relaxed Mg2ScRe crystal (PBEsol).

Computed properties:
The calculation puts the size of the total moment at 0.0 μB per cell. For the density of states at the Fermi level, the calculation gives 3.6 states/eV/f.u.

Cell: 3.150 4.976 5.614 Å, 116.30 106.29 90.00°
Fractional coordinates of all 4 atoms:
Mg  0.006  0.006  0.012
Mg  0.771  0.271  0.542
Re  0.502  0.502  0.004
Sc  0.221  0.721  0.441



<B>
Entry from the Alexandria database: a relaxed Mg2ScRe crystal (PBEsol).

Computed properties:
The calculation puts the size of the total moment at 0.0 μB per cell. For the density of states at the Fermi level, the calculation gives 3.4 states/eV/f.u.

Cell: 4.001 4.001 4.508 Å, 90.00 90.00 90.00°
Fractional coordinates of all 4 atoms:
Mg  0.000  0.500  0.000
Mg  0.500  0.000  0.000
Re  0.500  0.500  0.500
Sc  0.000  0.000  0.500



It is <A> that is the least stable of them.



<A>
Entry from the Alexandria database: a relaxed Sr2MgRe crystal (PBEsol).

Computed properties:
The calculation puts the size of the total moment at 1.2 μB per cell. For the density of states at the Fermi level, the calculation gives 4.3 states/eV/f.u.

Cell: 5.083 5.476 5.083 Å, 62.35 90.00 117.65°
Site moments in Bohr magnetons follow the coordinates.
Fractional coordinates of all 4 atoms:
Mg  0.500  0.000  0.500  -0.01
Re  0.000  0.000  0.000  1.13
Sr  0.250  0.500  0.250  -0.01
Sr  0.750  0.500  0.750  -0.01



<B>
Entry from the Alexandria database: a relaxed Sr2MgRe crystal (PBEsol).

Computed properties:
The calculation puts the size of the total moment at 0.7 μB per cell. For the density of states at the Fermi level, the calculation gives 5.3 states/eV/f.u.

Cell: 5.212 5.212 5.212 Å, 60.00 60.00 60.00°
Site moments in Bohr magnetons follow the coordinates.
Fractional coordinates of all 4 atoms:
Mg  0.500  0.500  0.500  -0.01
Re  0.250  0.250  0.250  0.73
Sr  0.000  0.000  0.000  -0.01
Sr  0.750  0.750  0.750  -0.03



<C>
Entry from the Alexandria database: a relaxed Sr2MgRe crystal (PBEsol).

Computed properties:
The calculation puts the size of the total moment at 0.0 μB per cell. For the density of states at the Fermi level, the calculation gives 3.8 states/eV/f.u.

Cell: 3.153 5.002 6.882 Å, 90.00 103.79 90.00°
Fractional coordinates of all 4 atoms:
Mg  0.321  0.000  0.525
Re  0.429  0.500  0.725
Sr  0.040  0.000  0.941
Sr  0.711  0.500  0.309



It is <B> that is the least stable of them.



<A>
Entry from the Alexandria database: a relaxed Mg2TaRe crystal (PBEsol).

Computed properties:
The calculation puts the size of the total moment at 0.0 μB per cell. For the density of states at the Fermi level, the calculation gives 4.4 states/eV/f.u.

Cell: 4.545 4.545 4.545 Å, 60.00 60.00 60.00°
Fractional coordinates of all 4 atoms:
Mg  0.250  0.250  0.250
Mg  0.750  0.750  0.750
Re  0.000  0.000  0.000
Ta  0.500  0.500  0.500



<B>
Entry from the Alexandria database: a relaxed Mg2TaRe crystal (PBEsol).

Computed properties:
The calculation puts the size of the total moment at 0.0 μB per cell. For the density of states at the Fermi level, the calculation gives 2.6 states/eV/f.u.

Cell: 2.730 4.282 5.955 Å, 90.00 90.00 90.00°
Fractional coordinates of all 4 atoms:
Mg  0.000  0.000  0.005
Mg  0.500  0.500  0.253
Re  0.000  0.000  0.517
Ta  0.500  0.500  0.725



It is <A> that is the least stable of them.



<A>
Entry from the Alexandria database: a relaxed Mg2TlRe crystal (PBEsol).

Computed properties:
The calculation puts the size of the total moment at 0.4 μB per cell. For the density of states at the Fermi level, the calculation gives 2.2 states/eV/f.u.

Cell: 3.326 4.585 5.569 Å, 114.31 107.38 90.00°
Site moments in Bohr magnetons follow the coordinates.
Fractional coordinates of all 4 atoms:
Mg  0.734  0.734  0.468  0.00
Mg  0.266  0.266  0.532  0.00
Re  0.000  0.500  0.000  0.34
Tl  0.500  0.000  0.000  -0.01



<B>
Entry from the Alexandria database: a relaxed Mg2TlRe crystal (PBEsol).

Computed properties:
The calculation puts the size of the total moment at 0.0 μB per cell. For the density of states at the Fermi level, the calculation gives 2.3 states/eV/f.u.

Cell: 2.887 4.302 5.892 Å, 90.00 90.00 90.00°
Fractional coordinates of all 4 atoms:
Mg  0.000  0.000  0.776
Mg  0.000  0.000  0.224
Re  0.500  0.500  0.000
Tl  0.500  0.500  0.500



<C>
Entry from the Alexandria database: a relaxed Mg2TlRe crystal (PBEsol).

Computed properties:
The calculation puts the size of the total moment at 0.0 μB per cell. For the density of states at the Fermi level, the calculation gives 1.5 states/eV/f.u.

Cell: 2.825 4.905 5.277 Å, 90.00 89.99 90.00°
Fractional coordinates of all 4 atoms:
Mg  0.875  0.000  0.972
Mg  0.875  0.500  0.294
Re  0.375  0.000  0.460
Tl  0.375  0.500  0.774



It is <A> that is the least stable of them.



<A>
Entry from the Alexandria database: a relaxed YMg2Re crystal (PBEsol).

Computed properties:
The calculation puts the size of the total moment at 0.0 μB per cell. For the density of states at the Fermi level, the calculation gives 2.6 states/eV/f.u.

Cell: 2.872 4.864 5.756 Å, 90.00 103.62 90.00°
Fractional coordinates of all 4 atoms:
Mg  0.695  0.000  0.780
Mg  0.305  0.000  0.220
Re  0.500  0.500  0.000
Y  0.000  0.500  0.500



<B>
Entry from the Alexandria database: a relaxed YMg2Re crystal (PBEsol).

Computed properties:
The calculation puts the size of the total moment at 0.1 μB per cell. For the density of states at the Fermi level, the calculation gives 4.1 states/eV/f.u.

Cell: 4.137 4.154 4.643 Å, 90.00 90.00 90.00°
Site moments in Bohr magnetons follow the coordinates.
Fractional coordinates of all 4 atoms:
Mg  0.000  0.000  0.000  0.00
Mg  0.500  0.500  0.000  0.00
Re  0.500  0.000  0.500  0.09
Y  0.000  0.500  0.500  0.00



It is <B> that is the least stable of them.



<A>
Entry from the Alexandria database: a relaxed Mg5Rh3 crystal (PBEsol).

Computed properties:
The calculation puts the size of the total moment at 0.0 μB per cell. For the density of states at the Fermi level, the calculation gives 1.9 states/eV/f.u.

Cell: 4.402 5.446 5.446 Å, 106.15 90.00 90.00°
Fractional coordinates of all 8 atoms:
Mg  0.000  0.000  0.000
Mg  0.000  0.000  0.500
Mg  0.000  0.500  0.000
Mg  0.500  0.281  0.281
Mg  0.500  0.719  0.719
Rh  0.000  0.500  0.500
Rh  0.500  0.768  0.232
Rh  0.500  0.232  0.768



<B>
Entry from the Alexandria database: a relaxed Mg5Rh3 crystal (PBEsol).

Computed properties:
The calculation puts the size of the total moment at 0.0 μB per cell. For the density of states at the Fermi level, the calculation gives 4.4 states/eV/f.u.

Cell: 5.266 7.655 7.655 Å, 120.00 90.00 90.00°
Fractional coordinates of all 16 atoms:
Mg  0.000  0.667  0.333
Mg  0.500  0.333  0.667
Mg  0.000  0.333  0.667
Mg  0.500  0.667  0.333
Mg  0.750  0.745  0.745
Mg  0.250  0.255  0.255
Mg  0.750  0.000  0.255
Mg  0.750  0.255  0.000
Mg  0.250  0.745  0.000
Mg  0.250  0.000  0.745
Rh  0.750  0.396  0.396
Rh  0.250  0.604  0.604
Rh  0.750  0.000  0.604
Rh  0.750  0.604  0.000
Rh  0.250  0.396  0.000
Rh  0.250  0.000  0.396



It is <B> that is the least stable of them.



<A>
Entry from the Alexandria database: a relaxed MgZn2Rh2 crystal (PBEsol).

Computed properties:
The calculation puts the size of the total moment at 0.0 μB per cell. For the density of states at the Fermi level, the calculation gives 2.7 states/eV/f.u.

Cell: 3.634 3.634 6.502 Å, 106.23 106.23 90.00°
Fractional coordinates of all 5 atoms:
Zn  0.250  0.750  0.500
Zn  0.750  0.250  0.500
Rh  0.394  0.394  0.788
Rh  0.606  0.606  0.212
Mg  0.000  0.000  0.000



<B>
Entry from the Alexandria database: a relaxed MgZn2Rh2 crystal (PBEsol).

Computed properties:
The calculation puts the size of the total moment at 0.0 μB per cell. For the density of states at the Fermi level, the calculation gives 1.7 states/eV/f.u.

Cell: 3.083 6.923 6.923 Å, 90.00 90.00 90.00°
Fractional coordinates of all 10 atoms:
Zn  0.500  0.155  0.655
Zn  0.500  0.655  0.845
Zn  0.500  0.845  0.345
Zn  0.500  0.345  0.155
Rh  0.000  0.358  0.858
Rh  0.000  0.858  0.642
Rh  0.000  0.642  0.142
Rh  0.000  0.142  0.358
Mg  0.000  0.000  0.000
Mg  0.000  0.500  0.500



It is <A> that is the least stable of them.



<A>
Entry from the Alexandria database: a relaxed MgSbRu2 crystal (PBEsol).

Computed properties:
The calculation puts the size of the total moment at 0.0 μB per cell. For the density of states at the Fermi level, the calculation gives 2.9 states/eV/f.u.

Cell: 3.151 4.400 4.400 Å, 90.00 90.00 90.00°
Fractional coordinates of all 4 atoms:
Sb  0.500  0.500  0.500
Mg  0.500  0.000  0.000
Ru  0.000  0.000  0.500
Ru  0.000  0.500  0.000



<B>
Entry from the Alexandria database: a relaxed MgSbRu2 crystal (PBEsol).

Computed properties:
The calculation puts the size of the total moment at 0.0 μB per cell. For the density of states at the Fermi level, the calculation gives 2.7 states/eV/f.u.

Cell: 4.406 4.406 4.406 Å, 60.00 60.00 60.00°
Fractional coordinates of all 4 atoms:
Sb  0.000  0.000  0.000
Mg  0.500  0.500  0.500
Ru  0.250  0.250  0.250
Ru  0.750  0.750  0.750



It is <A> that is the least stable of them.